# V2N2F

A geometry-optimized V2N2F structure (GGA+U, Alexandria via LeMat-Bulk).

* E above lowest polymorph: 0.327 eV/atom
* E_tot: -68.14 eV per cell

a b c (Å): 6.003 6.003 2.607
angles (deg): 90.00 90.00 90.00
Space group P4/mbm (No. 127)
Inequivalent atoms, fractional coordinates:
V 0.147 0.353 0.000 x4
N 0.133 0.633 0.500 x4
F 0.000 0.000 0.500 x2